Here is a relaxed Ti3Fe5H12 crystal from the Alexandria database. Energies are from PBE-GGA.

Properties
**Magnetic moment**: 83.39 μB per cell

```
data_Ti3Fe5H12
_symmetry_space_group_name_H-M 'I a -3 d'
_symmetry_Int_Tables_number 230
_symmetry_space_group_name_Hall '-I 4bd 2c 3'
_cell_length_a 10.4040
_cell_length_b 10.4040
_cell_length_c 10.4040
_cell_angle_alpha 90.00
_cell_angle_beta 90.00
_cell_angle_gamma 90.00
loop_
_atom_site_label
_atom_site_type_symbol
_atom_site_fract_x
_atom_site_fract_y
_atom_site_fract_z
Ti1 Ti 0.0000 0.2500 0.1250
Fe1 Fe 0.0000 0.0000 0.0000
Fe2 Fe 0.0000 0.2500 0.3750
H1 H 0.0162 0.0643 0.6496
```

Here is a relaxed Nd2UGe crystal from the Alexandria database. Energies are from PBE-GGA.

Properties
**Formation enthalpy at 0 K**: 114.5 kJ/mol of formula units
**Magnetic moment**: 5.45 μB per cell

```
data_Nd2UGe
_symmetry_space_group_name_H-M 'R -3 m'
_symmetry_Int_Tables_number 166
_symmetry_space_group_name_Hall '-R 3 2"'
_cell_length_a 3.2378
_cell_length_b 3.2378
_cell_length_c 34.8396
_cell_angle_alpha 90.00
_cell_angle_beta 90.00
_cell_angle_gamma 120.00
loop_
_atom_site_label
_atom_site_type_symbol
_atom_site_fract_x
_atom_site_fract_y
_atom_site_fract_z
Nd1 Nd 0.0000 0.0000 0.0939
U1 U 0.0000 0.0000 0.0000
Ge1 Ge 0.0000 0.0000 0.5000
```

Here is a relaxed PrCu4Au2 crystal from the Alexandria database. Energies are from PBE-GGA.

Properties
**Formation enthalpy at 0 K**: 131.5 kJ/mol of formula units
**Magnetic moment**: 0.00 μB per cell

```
data_PrCu4Au2
_symmetry_space_group_name_H-M 'I 4/m m m'
_symmetry_Int_Tables_number 139
_symmetry_space_group_name_Hall '-I 4 2'
_cell_length_a 7.4497
_cell_length_b 7.4497
_cell_length_c 5.4926
_cell_angle_alpha 90.00
_cell_angle_beta 90.00
_cell_angle_gamma 90.00
loop_
_atom_site_label
_atom_site_type_symbol
_atom_site_fract_x
_atom_site_fract_y
_atom_site_fract_z
Pr1 Pr 0.0000 0.0000 0.0000
Cu1 Cu 0.0000 0.2186 0.5000
Au1 Au 0.0000 0.5000 0.2500
```

Here is a relaxed NdPPd4 crystal from the Alexandria database. Energies are from PBE-GGA.

Properties
**Formation enthalpy at 0 K**: -383.8 kJ/mol of formula units
**Magnetic moment**: 0.00 μB per cell

```
data_NdPPd4
_symmetry_space_group_name_H-M 'P m m a'
_symmetry_Int_Tables_number 51
_symmetry_space_group_name_Hall '-P 2a 2a'
_cell_length_a 7.5184
_cell_length_b 4.0251
_cell_length_c 6.9818
_cell_angle_alpha 90.00
_cell_angle_beta 90.00
_cell_angle_gamma 90.00
loop_
_atom_site_label
_atom_site_type_symbol
_atom_site_fract_x
_atom_site_fract_y
_atom_site_fract_z
Nd1 Nd 0.2500 0.0000 0.1241
P1 P 0.2500 0.0000 0.7110
Pd1 Pd 0.0000 0.0000 0.5000
Pd2 Pd 0.0621 0.5000 0.7993
Pd3 Pd 0.2500 0.5000 0.4358
```

Here is a relaxed Ho12Er5Zr2 crystal from the Alexandria database. Energies are from PBE-GGA.

Properties
**Formation enthalpy at 0 K**: 317.1 kJ/mol of formula units
**Magnetic moment**: 0.01 μB per cell

```
data_Ho12Er5Zr2
_symmetry_space_group_name_H-M 'C 1 2/m 1'
_symmetry_Int_Tables_number 12
_symmetry_space_group_name_Hall '-C 2y'
_cell_length_a 17.9396
_cell_length_b 7.3268
_cell_length_c 9.4255
_cell_angle_alpha 90.00
_cell_angle_beta 109.32
_cell_angle_gamma 90.00
loop_
_atom_site_label
_atom_site_type_symbol
_atom_site_fract_x
_atom_site_fract_y
_atom_site_fract_z
Ho1 Ho 0.0051 0.0000 0.1845
Ho2 Ho 0.0182 0.5000 0.6909
Ho3 Ho 0.1567 0.2544 0.3770
Ho4 Ho 0.1580 0.2519 0.0067
Er1 Er 0.0000 0.5000 0.0000
Er2 Er 0.1858 0.0000 0.7098
Er3 Er 0.2013 0.5000 0.7115
Zr1 Zr 0.0000 0.1760 0.5000
```

Here is a relaxed La4AuSe5 crystal from the Alexandria database. Energies are from PBE-GGA.

Properties
**Magnetic moment**: 1.67 μB per cell

```
data_La4AuSe5
_symmetry_space_group_name_H-M 'C 1 2/m 1'
_symmetry_Int_Tables_number 12
_symmetry_space_group_name_Hall '-C 2y'
_cell_length_a 19.4044
_cell_length_b 4.5011
_cell_length_c 8.2382
_cell_angle_alpha 90.00
_cell_angle_beta 114.99
_cell_angle_gamma 90.00
loop_
_atom_site_label
_atom_site_type_symbol
_atom_site_fract_x
_atom_site_fract_y
_atom_site_fract_z
La1 La 0.0003 0.0000 0.2358
La2 La 0.2154 0.5000 0.7159
Au1 Au 0.0000 0.5000 0.5000
Se1 Se 0.0000 0.5000 0.0000
Se2 Se 0.1669 0.0000 0.4398
Se3 Se 0.1666 0.0000 0.8950
```

Here is a relaxed RbBeSi crystal from the Alexandria database. Energies are from PBE-GGA.

Properties
**Magnetic moment**: 0.00 μB per cell
**Relative energy among the computed polymorphs**: 0 meV/atom

```
data_RbBeSi
_symmetry_space_group_name_H-M 'P 1 21/m 1'
_symmetry_Int_Tables_number 11
_symmetry_space_group_name_Hall '-P 2yb'
_cell_length_a 4.1930
_cell_length_b 3.7780
_cell_length_c 10.9780
_cell_angle_alpha 90.00
_cell_angle_beta 93.15
_cell_angle_gamma 90.00
loop_
_atom_site_label
_atom_site_type_symbol
_atom_site_fract_x
_atom_site_fract_y
_atom_site_fract_z
Rb1 Rb 0.2103 0.2500 0.2848
Be1 Be 0.1326 0.7500 0.0054
Si1 Si 0.3548 0.2500 0.9192
```

Here is a relaxed BeHg2Os crystal from the Alexandria database. Energies are from PBE-GGA.

Properties
**Formation enthalpy at 0 K**: 348.8 kJ/mol of formula units
**Magnetic moment**: 0.94 μB per cell

```
data_BeHg2Os
_symmetry_space_group_name_H-M 'P 4/m m m'
_symmetry_Int_Tables_number 123
_symmetry_space_group_name_Hall '-P 4 2'
_cell_length_a 2.9454
_cell_length_b 2.9454
_cell_length_c 7.5267
_cell_angle_alpha 90.00
_cell_angle_beta 90.00
_cell_angle_gamma 90.00
loop_
_atom_site_label
_atom_site_type_symbol
_atom_site_fract_x
_atom_site_fract_y
_atom_site_fract_z
Be1 Be 0.0000 0.0000 0.0000
Hg1 Hg 0.5000 0.5000 0.2272
Os1 Os 0.0000 0.0000 0.5000
```

Here is a relaxed CoSbTeRu2 crystal from the Alexandria database. Energies are from PBE-GGA.

Properties
**Magnetic moment**: 4.35 μB per cell

```
data_CoSbTeRu2
_symmetry_space_group_name_H-M 'P 4/m m m'
_symmetry_Int_Tables_number 123
_symmetry_space_group_name_Hall '-P 4 2'
_cell_length_a 4.7019
_cell_length_b 4.7019
_cell_length_c 4.5887
_cell_angle_alpha 90.00
_cell_angle_beta 90.00
_cell_angle_gamma 90.00
loop_
_atom_site_label
_atom_site_type_symbol
_atom_site_fract_x
_atom_site_fract_y
_atom_site_fract_z
Co1 Co 0.0000 0.0000 0.0000
Sb1 Sb 0.0000 0.0000 0.5000
Te1 Te 0.5000 0.5000 0.5000
Ru1 Ru 0.0000 0.5000 0.0000
```

Here is a relaxed ZrPd2WC crystal from the Alexandria database. Energies are from PBE-GGA.

Properties
**Formation enthalpy at 0 K**: -15.4 kJ/mol of formula units
**Magnetic moment**: 0.00 μB per cell

```
data_ZrPd2WC
_symmetry_space_group_name_H-M 'P 4/m m m'
_symmetry_Int_Tables_number 123
_symmetry_space_group_name_Hall '-P 4 2'
_cell_length_a 4.2248
_cell_length_b 4.2248
_cell_length_c 4.2191
_cell_angle_alpha 90.00
_cell_angle_beta 90.00
_cell_angle_gamma 90.00
loop_
_atom_site_label
_atom_site_type_symbol
_atom_site_fract_x
_atom_site_fract_y
_atom_site_fract_z
Zr1 Zr 0.0000 0.0000 0.0000
Pd1 Pd 0.0000 0.5000 0.5000
W1 W 0.5000 0.5000 0.0000
C1 C 0.5000 0.5000 0.5000
```

Here is a relaxed LiTl2F2 crystal from the Alexandria database. Energies are from PBE-GGA.

Properties
**Magnetic moment**: 0.00 μB per cell
**Relative energy among the computed polymorphs**: 0 meV/atom

```
data_LiTl2F2
_symmetry_space_group_name_H-M 'P 4/m b m'
_symmetry_Int_Tables_number 127
_symmetry_space_group_name_Hall '-P 4 2ab'
_cell_length_a 6.1627
_cell_length_b 6.1627
_cell_length_c 5.0868
_cell_angle_alpha 90.00
_cell_angle_beta 90.00
_cell_angle_gamma 90.00
loop_
_atom_site_label
_atom_site_type_symbol
_atom_site_fract_x
_atom_site_fract_y
_atom_site_fract_z
Li1 Li 0.0000 0.0000 0.0000
Tl1 Tl 0.1886 0.3114 0.5000
F1 F 0.2457 0.7457 0.0000
```

Here is a relaxed Cs2BaBiCl6 crystal from the Alexandria database. Energies are from PBE-GGA.

Properties
**Magnetic moment**: 2.00 μB per cell

```
data_Cs2BaBiCl6
_symmetry_space_group_name_H-M 'I 4/m m m'
_symmetry_Int_Tables_number 139
_symmetry_space_group_name_Hall '-I 4 2'
_cell_length_a 8.1336
_cell_length_b 8.1336
_cell_length_c 12.9398
_cell_angle_alpha 90.00
_cell_angle_beta 90.00
_cell_angle_gamma 90.00
loop_
_atom_site_label
_atom_site_type_symbol
_atom_site_fract_x
_atom_site_fract_y
_atom_site_fract_z
Cs1 Cs 0.0000 0.5000 0.2500
Ba1 Ba 0.0000 0.0000 0.0000
Bi1 Bi 0.0000 0.0000 0.5000
Cl1 Cl 0.0000 0.0000 0.2320
Cl2 Cl 0.2372 0.2372 0.5000
```

| no. | E_tot (eV/atom) |
| --- | --- |
| 1 | -5.46 |
| 2 | -6.06 |
| 3 | -3.77 |
| 4 | -5.82 |
| 5 | -4.82 |
| 6 | -5.71 |
| 7 | -3.27 |
| 8 | -2.99 |
| 9 | -5.58 |
| 10 | -8.25 |
| 11 | -3.65 |
| 12 | -3.55 |